(1)
Entry from Alexandria: a relaxed NaCaAlTl2 crystal (PBE).

Cell and atoms, written as CIF:
```
data_NaCaAlTl2
_chemical_formula_sum 'Na1 Ca1 Al1 Tl2'
_symmetry_space_group_name_H-M 'P 1'
_symmetry_Int_Tables_number 1
_cell_length_a 5.462
_cell_length_b 5.462
_cell_length_c 5.317
_cell_angle_alpha 90.00
_cell_angle_beta 90.00
_cell_angle_gamma 90.00
loop_
_symmetry_equiv_pos_as_xyz
'x,y,z'
loop_
_atom_site_label
_atom_site_type_symbol
_atom_site_fract_x
_atom_site_fract_y
_atom_site_fract_z
_atom_site_occupancy
Na1 Na 0.000 0.000 0.000 1
Ca1 Ca 0.500 0.500 0.500 1
Al1 Al 0.000 0.000 0.500 1
Tl1 Tl 0.000 0.500 0.000 1
Tl2 Tl 0.500 0.000 0.000 1
```



(2)
Entry from Alexandria: a relaxed NaCaYAl crystal (PBE).

Cell and atoms, written as CIF:
```
data_NaCaYAl
_chemical_formula_sum 'Na1 Ca1 Y1 Al1'
_symmetry_space_group_name_H-M 'P 1'
_symmetry_Int_Tables_number 1
_cell_length_a 5.395
_cell_length_b 5.395
_cell_length_c 5.395
_cell_angle_alpha 60.00
_cell_angle_beta 60.00
_cell_angle_gamma 60.00
loop_
_symmetry_equiv_pos_as_xyz
'x,y,z'
loop_
_atom_site_label
_atom_site_type_symbol
_atom_site_fract_x
_atom_site_fract_y
_atom_site_fract_z
_atom_site_occupancy
Na1 Na 0.000 0.000 0.000 1
Ca1 Ca 0.250 0.250 0.250 1
Y1 Y 0.750 0.750 0.750 1
Al1 Al 0.500 0.500 0.500 1
```



(3)
Entry from Alexandria: a relaxed NaCaAlZn crystal (PBE).

Cell and atoms, written as CIF:
```
data_NaCaAlZn
_chemical_formula_sum 'Na1 Ca1 Al1 Zn1'
_symmetry_space_group_name_H-M 'P 1'
_symmetry_Int_Tables_number 1
_cell_length_a 4.955
_cell_length_b 4.955
_cell_length_c 4.955
_cell_angle_alpha 60.00
_cell_angle_beta 60.00
_cell_angle_gamma 60.00
loop_
_symmetry_equiv_pos_as_xyz
'x,y,z'
loop_
_atom_site_label
_atom_site_type_symbol
_atom_site_fract_x
_atom_site_fract_y
_atom_site_fract_z
_atom_site_occupancy
Na1 Na 0.000 0.000 0.000 1
Ca1 Ca 0.750 0.750 0.750 1
Al1 Al 0.250 0.250 0.250 1
Zn1 Zn 0.500 0.500 0.500 1
```



(4)
Entry from Alexandria: a relaxed CaNbAl11 crystal (PBE).

Cell and atoms, written as CIF:
```
data_CaNbAl11
_chemical_formula_sum 'Ca1 Nb1 Al11'
_symmetry_space_group_name_H-M 'P 1'
_symmetry_Int_Tables_number 1
_cell_length_a 7.160
_cell_length_b 7.160
_cell_length_c 7.051
_cell_angle_alpha 97.76
_cell_angle_beta 97.76
_cell_angle_gamma 135.77
loop_
_symmetry_equiv_pos_as_xyz
'x,y,z'
loop_
_atom_site_label
_atom_site_type_symbol
_atom_site_fract_x
_atom_site_fract_y
_atom_site_fract_z
_atom_site_occupancy
Ca1 Ca 0.000 0.000 0.000 1
Nb1 Nb 0.000 0.000 0.500 1
Al1 Al 0.000 0.500 0.000 1
Al2 Al 0.010 0.660 0.642 1
Al3 Al 0.272 0.495 0.780 1
Al4 Al 0.340 0.990 0.358 1
Al5 Al 0.495 0.272 0.780 1
Al6 Al 0.500 0.000 0.000 1
Al7 Al 0.500 0.500 0.500 1
Al8 Al 0.505 0.728 0.220 1
Al9 Al 0.660 0.010 0.642 1
Al10 Al 0.728 0.505 0.220 1
Al11 Al 0.990 0.340 0.358 1
```



(5)
Entry from Alexandria: a relaxed Ca3NbAl crystal (PBE).

Cell and atoms, written as CIF:
```
data_Ca3NbAl
_chemical_formula_sum 'Ca3 Nb1 Al1'
_symmetry_space_group_name_H-M 'P 1'
_symmetry_Int_Tables_number 1
_cell_length_a 5.735
_cell_length_b 5.735
_cell_length_c 5.735
_cell_angle_alpha 90.00
_cell_angle_beta 90.00
_cell_angle_gamma 90.00
loop_
_symmetry_equiv_pos_as_xyz
'x,y,z'
loop_
_atom_site_label
_atom_site_type_symbol
_atom_site_fract_x
_atom_site_fract_y
_atom_site_fract_z
_atom_site_occupancy
Ca1 Ca 0.000 0.000 0.500 1
Ca2 Ca 0.000 0.500 0.000 1
Ca3 Ca 0.500 0.000 0.000 1
Nb1 Nb 0.500 0.500 0.500 1
Al1 Al 0.000 0.000 0.000 1
```



(6)
Entry from Alexandria: a relaxed CaNbAl3 crystal (PBE).

Cell and atoms, written as CIF:
```
data_CaNbAl3
_chemical_formula_sum 'Ca1 Nb1 Al3'
_symmetry_space_group_name_H-M 'P 1'
_symmetry_Int_Tables_number 1
_cell_length_a 5.078
_cell_length_b 5.078
_cell_length_c 5.078
_cell_angle_alpha 90.00
_cell_angle_beta 90.00
_cell_angle_gamma 90.00
loop_
_symmetry_equiv_pos_as_xyz
'x,y,z'
loop_
_atom_site_label
_atom_site_type_symbol
_atom_site_fract_x
_atom_site_fract_y
_atom_site_fract_z
_atom_site_occupancy
Ca1 Ca 0.000 0.000 0.000 1
Nb1 Nb 0.500 0.500 0.500 1
Al1 Al 0.000 0.000 0.500 1
Al2 Al 0.000 0.500 0.000 1
Al3 Al 0.500 0.000 0.000 1
```



(7)
Entry from Alexandria: a relaxed CaNbAl3 crystal (PBE).

Cell and atoms, written as CIF:
```
data_CaNbAl3
_chemical_formula_sum 'Ca1 Nb1 Al3'
_symmetry_space_group_name_H-M 'P 1'
_symmetry_Int_Tables_number 1
_cell_length_a 5.029
_cell_length_b 5.029
_cell_length_c 5.029
_cell_angle_alpha 90.00
_cell_angle_beta 90.00
_cell_angle_gamma 90.00
loop_
_symmetry_equiv_pos_as_xyz
'x,y,z'
loop_
_atom_site_label
_atom_site_type_symbol
_atom_site_fract_x
_atom_site_fract_y
_atom_site_fract_z
_atom_site_occupancy
Ca1 Ca 0.000 0.000 0.000 1
Nb1 Nb 0.500 0.500 0.500 1
Al1 Al 0.000 0.500 0.500 1
Al2 Al 0.500 0.000 0.500 1
Al3 Al 0.500 0.500 0.000 1
```



(8)
Entry from Alexandria: a relaxed Ca3NbAl crystal (PBE).

Cell and atoms, written as CIF:
```
data_Ca3NbAl
_chemical_formula_sum 'Ca3 Nb1 Al1'
_symmetry_space_group_name_H-M 'P 1'
_symmetry_Int_Tables_number 1
_cell_length_a 5.530
_cell_length_b 5.530
_cell_length_c 5.530
_cell_angle_alpha 90.00
_cell_angle_beta 90.00
_cell_angle_gamma 90.00
loop_
_symmetry_equiv_pos_as_xyz
'x,y,z'
loop_
_atom_site_label
_atom_site_type_symbol
_atom_site_fract_x
_atom_site_fract_y
_atom_site_fract_z
_atom_site_occupancy
Ca1 Ca 0.000 0.000 0.500 1
Ca2 Ca 0.000 0.500 0.000 1
Ca3 Ca 0.500 0.000 0.000 1
Nb1 Nb 0.000 0.000 0.000 1
Al1 Al 0.500 0.500 0.500 1
```



(9)
Entry from Alexandria: a relaxed Ca2NbAl crystal (PBE).

Cell and atoms, written as CIF:
```
data_Ca2NbAl
_chemical_formula_sum 'Ca4 Nb2 Al2'
_symmetry_space_group_name_H-M 'P 1'
_symmetry_Int_Tables_number 1
_cell_length_a 6.612
_cell_length_b 6.612
_cell_length_c 6.612
_cell_angle_alpha 101.70
_cell_angle_beta 101.70
_cell_angle_gamma 126.48
loop_
_symmetry_equiv_pos_as_xyz
'x,y,z'
loop_
_atom_site_label
_atom_site_type_symbol
_atom_site_fract_x
_atom_site_fract_y
_atom_site_fract_z
_atom_site_occupancy
Ca1 Ca 0.111 0.625 0.986 1
Ca2 Ca 0.375 0.361 0.486 1
Ca3 Ca 0.639 0.125 0.014 1
Ca4 Ca 0.875 0.889 0.514 1
Nb1 Nb 0.250 0.750 0.500 1
Nb2 Nb 0.500 0.500 0.000 1
Al1 Al 0.000 0.000 0.000 1
Al2 Al 0.750 0.250 0.500 1
```



(10)
Entry from Alexandria: a relaxed CaNbAl4 crystal (PBE).

Cell and atoms, written as CIF:
```
data_CaNbAl4
_chemical_formula_sum 'Ca1 Nb1 Al4'
_symmetry_space_group_name_H-M 'P 1'
_symmetry_Int_Tables_number 1
_cell_length_a 5.364
_cell_length_b 5.364
_cell_length_c 5.364
_cell_angle_alpha 60.00
_cell_angle_beta 60.00
_cell_angle_gamma 60.00
loop_
_symmetry_equiv_pos_as_xyz
'x,y,z'
loop_
_atom_site_label
_atom_site_type_symbol
_atom_site_fract_x
_atom_site_fract_y
_atom_site_fract_z
_atom_site_occupancy
Ca1 Ca 0.000 0.000 0.000 1
Nb1 Nb 0.750 0.750 0.750 1
Al1 Al 0.376 0.376 0.376 1
Al2 Al 0.376 0.376 0.873 1
Al3 Al 0.376 0.873 0.376 1
Al4 Al 0.873 0.376 0.376 1
```



(11)
Entry from Alexandria: a relaxed CaNbAlP2 crystal (PBE).

Cell and atoms, written as CIF:
```
data_CaNbAlP2
_chemical_formula_sum 'Ca1 Nb1 Al1 P2'
_symmetry_space_group_name_H-M 'P 1'
_symmetry_Int_Tables_number 1
_cell_length_a 4.838
_cell_length_b 4.838
_cell_length_c 5.567
_cell_angle_alpha 90.00
_cell_angle_beta 90.00
_cell_angle_gamma 90.00
loop_
_symmetry_equiv_pos_as_xyz
'x,y,z'
loop_
_atom_site_label
_atom_site_type_symbol
_atom_site_fract_x
_atom_site_fract_y
_atom_site_fract_z
_atom_site_occupancy
Ca1 Ca 0.000 0.000 0.000 1
Nb1 Nb 0.000 0.000 0.500 1
Al1 Al 0.500 0.500 0.000 1
P1 P 0.000 0.500 0.500 1
P2 P 0.500 0.000 0.500 1
```



(12)
Entry from Alexandria: a relaxed CaNbAlPb2 crystal (PBE).

Cell and atoms, written as CIF:
```
data_CaNbAlPb2
_chemical_formula_sum 'Ca1 Nb1 Al1 Pb2'
_symmetry_space_group_name_H-M 'P 1'
_symmetry_Int_Tables_number 1
_cell_length_a 5.429
_cell_length_b 5.429
_cell_length_c 5.081
_cell_angle_alpha 90.00
_cell_angle_beta 90.00
_cell_angle_gamma 90.00
loop_
_symmetry_equiv_pos_as_xyz
'x,y,z'
loop_
_atom_site_label
_atom_site_type_symbol
_atom_site_fract_x
_atom_site_fract_y
_atom_site_fract_z
_atom_site_occupancy
Ca1 Ca 0.000 0.000 0.000 1
Nb1 Nb 0.500 0.500 0.000 1
Al1 Al 0.500 0.500 0.500 1
Pb1 Pb 0.000 0.500 0.500 1
Pb2 Pb 0.500 0.000 0.500 1
```



Energy of formation from the pure elements values, unit eV/atom, following the record order: 0.333; -0.042; -0.043; -0.152; 0.882; 1.687; 0.201; 0.998; 0.690; -0.212; 0.439; 0.576.
Ρ values, unit g/cm3, following the record order: 5.2; 2.7; 3.0; 3.0; 2.1; 2.7; 2.8; 2.4; 3.2; 3.7; 2.8; 6.4.